1.
## NaSr12Hg6 (PBE)

Data for NaSr12Hg6 after structural relaxation.

Cell: 11.671 11.671 11.671 Å, 90.00 90.00 90.00°
Space group Im-3 (No. 204)
Asymmetric unit:
1 Na 0.000 0.000 0.000 [2 per cell]
2 Sr 0.000 0.300 0.182 [24 per cell]
3 Hg 0.000 0.130 0.500 [12 per cell]

***

2.
## NaSrHg (PBE)

Data for NaSrHg after structural relaxation.

The energy above the most stable polymorph in this dataset comes out at 0.113 eV/atom.

Cell: 7.682 7.682 7.682 Å, 90.00 90.00 90.00°
Space group F-43m (No. 216)
Asymmetric unit:
1 Na 0.000 0.000 0.000 [4 per cell]
2 Sr 0.000 0.000 0.500 [4 per cell]
3 Hg 0.250 0.250 0.250 [4 per cell]

***

3.
## NaSrHg2 (PBE)

Data for NaSrHg2 after structural relaxation.

The energy above the most stable polymorph in this dataset comes out at 0.000 eV/atom.

Cell: 7.783 7.783 7.783 Å, 90.00 90.00 90.00°
Space group Fm-3m (No. 225)
Asymmetric unit:
1 Na 0.000 0.000 0.000 [4 per cell]
2 Sr 0.000 0.000 0.500 [4 per cell]
3 Hg 0.250 0.250 0.250 [8 per cell]

***

4.
## NaSr3Hg12 (PBE)

Data for NaSr3Hg12 after structural relaxation.

Cell: 4.816 4.816 19.252 Å, 90.00 90.00 90.00°
Space group P4/mmm (No. 123)
Asymmetric unit:
1 Na 0.000 0.000 0.000 [1 per cell]
2 Sr 0.000 0.000 0.243 [2 per cell]
3 Sr 0.000 0.000 0.500 [1 per cell]
4 Hg 0.000 0.500 0.118 [4 per cell]
5 Hg 0.000 0.500 0.373 [4 per cell]
6 Hg 0.500 0.500 0.000 [1 per cell]
7 Hg 0.500 0.500 0.251 [2 per cell]
8 Hg 0.500 0.500 0.500 [1 per cell]

***

Number 1: energy relative to the elements -29.7 kJ per mole of atoms. Number 2: energy relative to the elements -22.7 kJ per mole of atoms. Number 3: energy relative to the elements -36.3 kJ per mole of atoms. Number 4: energy relative to the elements -33.9 kJ per mole of atoms.